1.
! La2MgAlN | Alexandria via LeMat-Bulk | GGA-PBE | optimized geometry; values from VASP
! Space group: P4/mmm, No. 123
! Crystal system: tetragonal
! Uncorrected formation energy (kJ/mol of formula units): -312.5
&SYSTEM
  ibrav = 0, nat = 5, ntyp = 4
/
ATOMIC_SPECIES
La 138.91 La.upf
Mg 24.30 Mg.upf
Al 26.98 Al.upf
N 14.01 N.upf
CELL_PARAMETERS angstrom
5.1406 0.0000 0.0000
0.0000 5.1406 0.0000
0.0000 0.0000 4.3962
ATOMIC_POSITIONS crystal
La 0.0000 0.5000 0.0000
La 0.5000 0.0000 0.0000
Mg 0.0000 0.0000 0.5000
Al 0.5000 0.5000 0.5000
N 0.0000 0.0000 0.0000


2.
! Ag2HCl5 | Alexandria via LeMat-Bulk | GGA-PBE | optimized geometry; values from VASP
! E (eV for the cell shown): -21.2
! Space group: P1, No. 1
! Crystal system: triclinic
&SYSTEM
  ibrav = 0, nat = 8, ntyp = 3
/
ATOMIC_SPECIES
Ag 107.87 Ag.upf
H 1.01 H.upf
Cl 35.45 Cl.upf
CELL_PARAMETERS angstrom
5.7358 0.0000 0.0000
-2.6552 6.0483 0.0000
-0.0199 -0.1025 6.6853
ATOMIC_POSITIONS crystal
Ag 0.0000 0.0000 0.0000
Ag 0.4953 0.0008 0.4904
H 0.2542 0.6264 0.9249
Cl 0.0219 0.5192 0.9909
Cl 0.2589 0.1549 0.6968
Cl 0.3987 0.1750 0.2042
Cl 0.6104 0.8408 0.7820
Cl 0.7270 0.8329 0.2918


Repeat the first record exactly.
! La2MgAlN | Alexandria via LeMat-Bulk | GGA-PBE | optimized geometry; values from VASP
! Space group: P4/mmm, No. 123
! Crystal system: tetragonal
! Uncorrected formation energy (kJ/mol of formula units): -312.5
&SYSTEM
  ibrav = 0, nat = 5, ntyp = 4
/
ATOMIC_SPECIES
La 138.91 La.upf
Mg 24.30 Mg.upf
Al 26.98 Al.upf
N 14.01 N.upf
CELL_PARAMETERS angstrom
5.1406 0.0000 0.0000
0.0000 5.1406 0.0000
0.0000 0.0000 4.3962
ATOMIC_POSITIONS crystal
La 0.0000 0.5000 0.0000
La 0.5000 0.0000 0.0000
Mg 0.0000 0.0000 0.5000
Al 0.5000 0.5000 0.5000
N 0.0000 0.0000 0.0000


Repeat the second record exactly.
! Ag2HCl5 | Alexandria via LeMat-Bulk | GGA-PBE | optimized geometry; values from VASP
! E (eV for the cell shown): -21.2
! Space group: P1, No. 1
! Crystal system: triclinic
&SYSTEM
  ibrav = 0, nat = 8, ntyp = 3
/
ATOMIC_SPECIES
Ag 107.87 Ag.upf
H 1.01 H.upf
Cl 35.45 Cl.upf
CELL_PARAMETERS angstrom
5.7358 0.0000 0.0000
-2.6552 6.0483 0.0000
-0.0199 -0.1025 6.6853
ATOMIC_POSITIONS crystal
Ag 0.0000 0.0000 0.0000
Ag 0.4953 0.0008 0.4904
H 0.2542 0.6264 0.9249
Cl 0.0219 0.5192 0.9909
Cl 0.2589 0.1549 0.6968
Cl 0.3987 0.1750 0.2042
Cl 0.6104 0.8408 0.7820
Cl 0.7270 0.8329 0.2918